Record 1
The following is a DFT calculation (PBE) of an optimized crystal structure of Pm2AlSi3.

Output
As for the uncorrected formation energy: -0.629 eV/atom. The total magnetization comes out at 0.00 μB/cell. The calculation puts the calculated total energy at -5.55 eV/atom. The crystal system is orthorhombic. Its energy above the lowest structure with this stoichiometry is 0.000 eV/atom.

abc: 4.205 4.248 14.065
angles: 90.00 90.00 90.00
Space group Imm2 (No. 44)
Asymmetric unit:
Pm (0.000, 0.000, 0.000) x2
Pm (0.000, 0.500, 0.240) x2
Al (0.000, 0.000, 0.411) x2
Si (0.000, 0.000, 0.582) x2
Si (0.000, 0.500, 0.658) x2
Si (0.000, 0.500, 0.825) x2

---

Record 2
The following is a DFT calculation (PBE) of an optimized crystal structure of Na2GaSn3Pt4.

Output
The total magnetization comes out at 0.00 μB/cell. The calculation puts the calculated total energy at -4.67 eV/atom. The calculation puts the energy of formation at -47 kJ/mol of atoms. The crystal system is tetragonal.

abc: 4.432 4.432 11.164
angles: 90.00 90.00 90.00
Space group P-4m2 (No. 115)
Asymmetric unit:
Na (0.000, 0.500, 0.250) x2
Ga (0.000, 0.000, 0.500) x1
Sn (0.000, 0.500, 0.865) x2
Sn (0.500, 0.500, 0.500) x1
Pt (0.000, 0.000, 0.000) x1
Pt (0.000, 0.500, 0.629) x2
Pt (0.500, 0.500, 0.000) x1

---

Record 3
The following is a DFT calculation (PBE) of an optimized crystal structure of RbTlSe2.

Output
As for the uncorrected formation energy: -0.588 eV/atom. The total magnetization comes out at 0.00 μB/cell. The calculation puts the calculated total energy at -3.16 eV/atom. The crystal system is monoclinic. Its energy above the lowest structure with this stoichiometry is 0.080 eV/atom.

abc: 9.350 9.525 6.714
angles: 90.00 101.19 90.00
Space group C2/c (No. 15)
Asymmetric unit:
Rb (0.000, 0.130, 0.250) x4
Tl (0.000, 0.412, 0.750) x4
Se (0.234, 0.162, 0.867) x8

---

Repeat the first record exactly.
The following is a DFT calculation (PBE) of an optimized crystal structure of Pm2AlSi3.

Output
As for the uncorrected formation energy: -0.629 eV/atom. The total magnetization comes out at 0.00 μB/cell. The calculation puts the calculated total energy at -5.55 eV/atom. The crystal system is orthorhombic. Its energy above the lowest structure with this stoichiometry is 0.000 eV/atom.

abc: 4.205 4.248 14.065
angles: 90.00 90.00 90.00
Space group Imm2 (No. 44)
Asymmetric unit:
Pm (0.000, 0.000, 0.000) x2
Pm (0.000, 0.500, 0.240) x2
Al (0.000, 0.000, 0.411) x2
Si (0.000, 0.000, 0.582) x2
Si (0.000, 0.500, 0.658) x2
Si (0.000, 0.500, 0.825) x2

---

- What is the total magnetization in the first record?
  0.00 μB/cell